Entry 1:
The following is a DFT calculation (PBE-GGA) of a geometry-optimized NdSmP2 structure.

Unit cell a=4.1404 b=4.1404 c=7.1625 alpha=73.19 beta=73.19 gamma=60.00
With the nearest neighbours (Å) after each atom.
Positions (direct):
1 Nd 0.5000 0.5000 0.5000  6 P 2.94
2 Sm 0.0000 0.0000 0.0000  6 P 2.91
3 P 0.7489 0.7489 0.7535  3 Sm 2.91, 3 Nd 2.94
4 P 0.2511 0.2511 0.2465  3 Sm 2.91, 3 Nd 2.94

## Properties
- calculated formation energy (eV/atom) = -1.55
- polymorph energy (0 for the lowest one) (meV/atom) = 1.1
- magnetic moment (μB/f.u.) = 0.0
- energy (eV/atom) = -6.63

Entry 2:
The following is a DFT calculation (PBE-GGA) of a geometry-optimized Y2HoCl structure.

Unit cell a=3.4511 b=3.4511 c=11.3064 alpha=81.22 beta=81.22 gamma=60.00
With the nearest neighbours (Å) after each atom.
Positions (direct):
1 Y 0.1006 0.1006 0.6981  3 Cl 2.97
2 Y 0.8994 0.8994 0.3019  3 Cl 2.97
3 Ho 0.0000 0.0000 0.0000  2 Y 3.36, 6 Ho 3.45
4 Cl 0.5000 0.5000 0.5000  6 Y 2.97

## Properties
- energy relative to the elements, uncorrected (kJ/mol of formula units) = -143
- magnetic moment (μB/f.u.) = 1.3
- energy (eV/atom) = -5.21

Entry 3:
The following is a DFT calculation (PBE-GGA) of a geometry-optimized TbPm3Ru8 structure.

Unit cell a=5.3833 b=5.3833 c=9.3756 alpha=73.32 beta=73.32 gamma=60.00
With the nearest neighbours (Å) after each atom.
Positions (direct):
1 Tb 0.8742 0.8742 0.3774  12 Ru 3.14-3.16, 4 Pm 3.30-3.31
2 Pm 0.3739 0.3739 0.8784  12 Ru 3.14-3.19, 4 Pm 3.30-3.32
3 Pm 0.9989 0.9989 0.0034  12 Ru 3.16-3.19, 3 Pm 3.30, 1 Tb 3.31
4 Pm 0.4988 0.4988 0.5035  12 Ru 3.14-3.18, 3 Tb 3.30, 1 Pm 3.32
5 Ru 0.9280 0.4405 0.1909  6 Ru 2.62-2.77
6 Ru 0.4326 0.9405 0.6863  6 Ru 2.65-2.75
7 Ru 0.4405 0.4405 0.1909  6 Ru 2.62-2.77
8 Ru 0.9405 0.9405 0.6863  6 Ru 2.65-2.75
9 Ru 0.1908 0.1908 0.4275  6 Ru 2.63-2.75
10 Ru 0.6906 0.6906 0.9282  6 Ru 2.66-2.77
11 Ru 0.4405 0.9280 0.1909  6 Ru 2.62-2.77
12 Ru 0.9405 0.4326 0.6863  6 Ru 2.65-2.75

## Properties
- calculated formation energy (eV/atom) = -0.20
- magnetic moment (μB/f.u.) = 0.0
- energy (eV/atom) = -7.96

Entry 4:
The following is a DFT calculation (PBE-GGA) of a geometry-optimized BaNiSCl2 structure.

Unit cell a=4.7640 b=4.7640 c=4.7927 alpha=90.00 beta=90.00 gamma=90.00
With the nearest neighbours (Å) after each atom.
Positions (direct):
1 Ni 0.0000 0.0000 0.0000  4 Cl 2.38, 2 S 2.40
2 S 0.0000 0.0000 0.5000  2 Ni 2.40
3 Ba 0.5000 0.5000 0.5000  4 S 3.37, 8 Cl 3.38
4 Cl 0.0000 0.5000 0.0000  2 Ni 2.38
5 Cl 0.5000 0.0000 0.0000  2 Ni 2.38

## Properties
- energy relative to the elements, uncorrected (kJ/mol of formula units) = -615
- polymorph energy (0 for the lowest one) (meV/atom) = 0.0
- magnetic moment (μB/f.u.) = 0.0
- energy (eV/atom) = -4.38

Q: Which of these has the highest magnetic moment?
A: Y2HoCl